1.
Entry from Alexandria: a geometry-optimized Pm12Ge6Te structure (GGA-PBE).

Output
- Uncorrected formation energy: -0.450 eV/atom
- Volume: 582.2 Å³/f.u.
- Space-group type: R-3m
- E: -5.07 eV/atom
- Magnetization: 0.00 μB per cell
- Density of states at the Fermi level: 19.59 states/eV/f.u.
- Mass density: 6.57 g/cm3

Unit cell a=8.9605 b=8.9605 c=8.9605 alpha=107.99 beta=107.99 gamma=107.99
Atoms (fractional coordinates):
Pm: 0.0000 0.3602 0.6398
Pm: 0.0000 0.6398 0.3602
Pm: 0.0933 0.0933 0.3417
Pm: 0.0933 0.3417 0.0933
Pm: 0.3417 0.0933 0.0933
Pm: 0.3602 0.0000 0.6398
Pm: 0.3602 0.6398 0.0000
Pm: 0.6398 0.0000 0.3602
Pm: 0.6398 0.3602 0.0000
Pm: 0.6583 0.9067 0.9067
Pm: 0.9067 0.6583 0.9067
Pm: 0.9067 0.9067 0.6583
Ge: 0.1661 0.7543 0.7543
Ge: 0.2457 0.2457 0.8339
Ge: 0.2457 0.8339 0.2457
Ge: 0.7543 0.1661 0.7543
Ge: 0.7543 0.7543 0.1661
Ge: 0.8339 0.2457 0.2457
Te: 0.5000 0.5000 0.5000



2.
Entry from Alexandria: a geometry-optimized Pm2GeTe structure (GGA-PBE).

Output
- Uncorrected formation energy: -0.840 eV/atom
- Volume: 108.5 Å³/f.u.
- Space-group type: Fm-3m
- Energy above the most stable polymorph in this dataset: 0.379 eV per atom
- E: -5.16 eV/atom
- Magnetization: 0.00 μB per cell
- Density of states at the Fermi level: 3.16 states/eV/f.u.
- Mass density: 7.50 g/cm3

Unit cell a=5.3540 b=5.3540 c=5.3540 alpha=60.00 beta=60.00 gamma=60.00
Atoms (fractional coordinates):
Pm: 0.2500 0.2500 0.2500
Pm: 0.7500 0.7500 0.7500
Ge: 0.0000 0.0000 0.0000
Te: 0.5000 0.5000 0.5000



3.
Entry from Alexandria: a geometry-optimized Pm3Ge2Te2 structure (GGA-PBE).

Output
- Uncorrected formation energy: -0.874 eV/atom
- Volume: 234.0 Å³/f.u.
- Space-group type: C2/m
- E: -5.13 eV/atom
- Magnetization: 0.00 μB per cell
- Density of states at the Fermi level: 3.07 states/eV/f.u.
- Mass density: 5.93 g/cm3

Unit cell a=7.4263 b=7.4263 c=8.6850 alpha=111.78 beta=111.78 gamma=31.97
Atoms (fractional coordinates):
Pm: 0.0000 0.0000 0.0000
Pm: 0.2800 0.2800 0.3066
Pm: 0.7200 0.7200 0.6934
Ge: 0.1919 0.1919 0.9313
Ge: 0.8081 0.8081 0.0687
Te: 0.3945 0.3945 0.6981
Te: 0.6055 0.6055 0.3019



4.
Entry from Alexandria: a geometry-optimized Pm4GeTe4 structure (GGA-PBE).

Output
- Uncorrected formation energy: -0.992 eV/atom
- Volume: 370.8 Å³/f.u.
- Space-group type: I-42m
- E: -5.01 eV/atom
- Magnetization: 0.00 μB per cell
- Density of states at the Fermi level: 0.87 states/eV/f.u.
- Mass density: 5.21 g/cm3

Unit cell a=8.4225 b=8.4225 c=8.4225 alpha=126.80 beta=126.80 gamma=78.57
Atoms (fractional coordinates):
Pm: 0.0880 0.6718 0.0000
Pm: 0.3282 0.3282 0.4162
Pm: 0.6718 0.0880 0.0000
Pm: 0.9120 0.9120 0.5838
Ge: 0.0000 0.0000 0.0000
Te: 0.0000 0.5000 0.5000
Te: 0.2962 0.2962 0.0000
Te: 0.5000 0.0000 0.5000
Te: 0.7038 0.7038 0.0000



5.
Entry from Alexandria: a geometry-optimized Pm4GeTe2 structure (GGA-PBE).

Output
- Uncorrected formation energy: -1.010 eV/atom
- Volume: 225.8 Å³/f.u.
- Space-group type: R-3m
- E: -5.28 eV/atom
- Magnetization: 1.08 μB per cell
- Density of states at the Fermi level: 3.84 states/eV/f.u.
- Mass density: 6.68 g/cm3

Unit cell a=14.3896 b=14.3896 c=14.3896 alpha=17.14 beta=17.14 gamma=17.14
Atoms (fractional coordinates):
Pm: 0.1285 0.1285 0.1285
Pm: 0.3679 0.3679 0.3679
Pm: 0.6321 0.6321 0.6321
Pm: 0.8715 0.8715 0.8715
Ge: 0.5000 0.5000 0.5000
Te: 0.2529 0.2529 0.2529
Te: 0.7471 0.7471 0.7471



6.
Entry from Alexandria: a geometry-optimized Pm2Ge2Te7 structure (GGA-PBE).

Output
- Uncorrected formation energy: -0.490 eV/atom
- Volume: 406.0 Å³/f.u.
- Space-group type: C2/m
- E: -4.19 eV/atom
- Magnetization: 0.00 μB per cell
- Density of states at the Fermi level: 4.75 states/eV/f.u.
- Mass density: 5.43 g/cm3

Unit cell a=7.9136 b=7.9136 c=6.5637 alpha=96.00 beta=96.00 gamma=92.33
Atoms (fractional coordinates):
Pm: 0.2298 0.7702 0.0000
Pm: 0.7702 0.2298 0.0000
Ge: 0.2602 0.2602 0.5591
Ge: 0.7398 0.7398 0.4409
Te: 0.0424 0.4340 0.7684
Te: 0.0742 0.0742 0.2483
Te: 0.4340 0.0424 0.7684
Te: 0.5000 0.5000 0.5000
Te: 0.5660 0.9576 0.2316
Te: 0.9258 0.9258 0.7517
Te: 0.9576 0.5660 0.2316



7.
Entry from Alexandria: a geometry-optimized PmGe2Te4 structure (GGA-PBE).

Output
- Uncorrected formation energy: -0.303 eV/atom
- Volume: 242.9 Å³/f.u.
- Space-group type: I4/m
- E: -4.10 eV/atom
- Magnetization: 0.00 μB per cell
- Density of states at the Fermi level: 2.64 states/eV/f.u.
- Mass density: 5.47 g/cm3

Unit cell a=6.8414 b=6.8414 c=6.8414 alpha=105.67 beta=105.67 gamma=117.37
Atoms (fractional coordinates):
Pm: 0.0000 0.0000 0.0000
Ge: 0.2500 0.7500 0.5000
Ge: 0.7500 0.2500 0.5000
Te: 0.1976 0.6761 0.8737
Te: 0.3239 0.1976 0.5216
Te: 0.6761 0.8024 0.4784
Te: 0.8024 0.3239 0.1263



8.
Entry from Alexandria: a geometry-optimized Pm12Ge5Te2 structure (GGA-PBE).

Output
- Uncorrected formation energy: -0.601 eV/atom
- Volume: 599.1 Å³/f.u.
- Space-group type: C2/m
- E: -5.15 eV/atom
- Magnetization: 0.00 μB per cell
- Density of states at the Fermi level: 20.24 states/eV/f.u.
- Mass density: 6.54 g/cm3

Unit cell a=9.3047 b=9.3047 c=9.6160 alpha=103.64 beta=103.64 gamma=48.15
Atoms (fractional coordinates):
Pm: 0.0082 0.0082 0.2548
Pm: 0.0507 0.5832 0.8915
Pm: 0.0963 0.6154 0.4439
Pm: 0.3846 0.9037 0.5561
Pm: 0.4168 0.9493 0.1085
Pm: 0.4213 0.4213 0.1936
Pm: 0.5787 0.5787 0.8064
Pm: 0.5832 0.0507 0.8915
Pm: 0.6154 0.0963 0.4439
Pm: 0.9037 0.3846 0.5561
Pm: 0.9493 0.4168 0.1085
Pm: 0.9918 0.9918 0.7452
Ge: 0.1733 0.1733 0.8270
Ge: 0.2051 0.2051 0.3600
Ge: 0.5000 0.5000 0.5000
Ge: 0.7949 0.7949 0.6400
Ge: 0.8267 0.8267 0.1730
Te: 0.2589 0.7411 0.0000
Te: 0.7411 0.2589 0.0000



9.
Entry from Alexandria: a geometry-optimized Pm8Ge4Te3 structure (GGA-PBE).

Output
- Uncorrected formation energy: -1.020 eV/atom
- Volume: 467.5 Å³/f.u.
- Space-group type: C2/m
- E: -5.41 eV/atom
- Magnetization: 1.30 μB per cell
- Density of states at the Fermi level: 6.00 states/eV/f.u.
- Mass density: 6.51 g/cm3

Unit cell a=8.7124 b=8.7124 c=8.6912 alpha=119.89 beta=119.89 gamma=90.14
Atoms (fractional coordinates):
Pm: 0.2254 0.2254 0.4730
Pm: 0.2353 0.2353 0.9859
Pm: 0.2386 0.7614 0.0000
Pm: 0.2417 0.7583 0.5000
Pm: 0.7583 0.2417 0.5000
Pm: 0.7614 0.2386 0.0000
Pm: 0.7647 0.7647 0.0141
Pm: 0.7746 0.7746 0.5270
Ge: 0.0000 0.0000 0.0000
Ge: 0.0000 0.0000 0.5000
Ge: 0.0000 0.5000 0.0000
Ge: 0.5000 0.0000 0.0000
Te: 0.0000 0.5000 0.5000
Te: 0.5000 0.0000 0.5000
Te: 0.5000 0.5000 0.5000



10.
Entry from Alexandria: a geometry-optimized Pm2GeTe4 structure (GGA-PBE).

Output
- Uncorrected formation energy: -0.993 eV/atom
- Volume: 245.9 Å³/f.u.
- Space-group type: C2/m
- E: -4.81 eV/atom
- Magnetization: 0.00 μB per cell
- Mass density: 5.90 g/cm3

Unit cell a=8.3124 b=8.3124 c=7.8300 alpha=116.65 beta=116.65 gamma=30.90
Atoms (fractional coordinates):
Pm: 0.2341 0.2341 0.2220
Pm: 0.7659 0.7659 0.7780
Ge: 0.5000 0.5000 0.5000
Te: 0.1276 0.1276 0.4778
Te: 0.3849 0.3849 0.0656
Te: 0.6151 0.6151 0.9344
Te: 0.8724 0.8724 0.5222



11.
Entry from Alexandria: a geometry-optimized Pm3Ge5Te12 structure (GGA-PBE).

Output
- Uncorrected formation energy: -0.519 eV/atom
- Volume: 668.1 Å³/f.u.
- Space-group type: Ia-3d
- E: -4.27 eV/atom
- Magnetization: 0.00 μB per cell
- Density of states at the Fermi level: 5.09 states/eV/f.u.
- Mass density: 5.79 g/cm3

Unit cell a=15.1417 b=15.1417 c=15.1417 alpha=109.47 beta=109.47 gamma=109.47
Atoms (fractional coordinates):
Pm: 0.1250 0.2500 0.3750
Pm: 0.1250 0.3750 0.7500
Pm: 0.2500 0.3750 0.1250
Pm: 0.2500 0.8750 0.6250
Pm: 0.3750 0.1250 0.2500
Pm: 0.3750 0.7500 0.1250
Pm: 0.6250 0.2500 0.8750
Pm: 0.6250 0.8750 0.7500
Pm: 0.7500 0.1250 0.3750
Pm: 0.7500 0.6250 0.8750
Pm: 0.8750 0.6250 0.2500
Pm: 0.8750 0.7500 0.6250
Ge: 0.0000 0.0000 0.0000
Ge: 0.0000 0.0000 0.5000
Ge: 0.0000 0.5000 0.0000
Ge: 0.0000 0.5000 0.5000
Ge: 0.1250 0.7500 0.8750
Ge: 0.1250 0.8750 0.2500
Ge: 0.2500 0.1250 0.8750
Ge: 0.2500 0.6250 0.3750
Ge: 0.3750 0.2500 0.6250
Ge: 0.3750 0.6250 0.7500
Ge: 0.5000 0.0000 0.0000
Ge: 0.5000 0.0000 0.5000
Ge: 0.5000 0.5000 0.0000
Ge: 0.5000 0.5000 0.5000
Ge: 0.6250 0.3750 0.2500
Ge: 0.6250 0.7500 0.3750
Ge: 0.7500 0.3750 0.6250
Ge: 0.7500 0.8750 0.1250
Ge: 0.8750 0.1250 0.7500
Ge: 0.8750 0.2500 0.1250
Te: 0.0394 0.2153 0.1289
Te: 0.0394 0.3241 0.9105
Te: 0.0864 0.7153 0.6759
Te: 0.0864 0.8711 0.4105
Te: 0.0895 0.6289 0.4136
Te: 0.0895 0.9606 0.6759
Te: 0.1289 0.0394 0.2153
Te: 0.1289 0.5895 0.9136
Te: 0.1759 0.2153 0.5864
Te: 0.1759 0.4606 0.5895
Te: 0.2153 0.1289 0.0394
Te: 0.2153 0.5864 0.1759
Te: 0.2847 0.3241 0.9136
Te: 0.2847 0.4606 0.3711
Te: 0.3241 0.9105 0.0394
Te: 0.3241 0.9136 0.2847
Te: 0.3711 0.2847 0.4606
Te: 0.3711 0.5864 0.9105
Te: 0.4105 0.0864 0.8711
Te: 0.4105 0.8241 0.5394
Te: 0.4136 0.0895 0.6289
Te: 0.4136 0.8241 0.7847
Te: 0.4606 0.3711 0.2847
Te: 0.4606 0.5895 0.1759
Te: 0.5394 0.4105 0.8241
Te: 0.5394 0.6289 0.7153
Te: 0.5864 0.1759 0.2153
Te: 0.5864 0.9105 0.3711
Te: 0.5895 0.1759 0.4606
Te: 0.5895 0.9136 0.1289
Te: 0.6289 0.4136 0.0895
Te: 0.6289 0.7153 0.5394
Te: 0.6759 0.0864 0.7153
Te: 0.6759 0.0895 0.9606
Te: 0.7153 0.5394 0.6289
Te: 0.7153 0.6759 0.0864
Te: 0.7847 0.4136 0.8241
Te: 0.7847 0.8711 0.9606
Te: 0.8241 0.5394 0.4105
Te: 0.8241 0.7847 0.4136
Te: 0.8711 0.4105 0.0864
Te: 0.8711 0.9606 0.7847
Te: 0.9105 0.0394 0.3241
Te: 0.9105 0.3711 0.5864
Te: 0.9136 0.1289 0.5895
Te: 0.9136 0.2847 0.3241
Te: 0.9606 0.6759 0.0895
Te: 0.9606 0.7847 0.8711



12.
Entry from Alexandria: a geometry-optimized Pm2GeTe structure (GGA-PBE).

Output
- Uncorrected formation energy: -1.152 eV/atom
- Volume: 121.1 Å³/f.u.
- Space-group type: R3m
- Energy above the most stable polymorph in this dataset: 0.067 eV per atom
- E: -5.47 eV/atom
- Magnetization: 0.00 μB per cell
- Density of states at the Fermi level: 1.02 states/eV/f.u.
- Mass density: 6.72 g/cm3

Unit cell a=7.8889 b=7.8889 c=7.8889 alpha=31.79 beta=31.79 gamma=31.79
Atoms (fractional coordinates):
Pm: 0.0000 0.0000 0.0000
Pm: 0.1880 0.1880 0.1880
Ge: 0.5951 0.5951 0.5951
Te: 0.4261 0.4261 0.4261